Version a
DFT (GGA-PBE) results for a geometry-optimized Rb4NaAu2 structure.

Results
* DOS at the Fermi energy: 0.629 states/eV/atom
* size of the total moment: 0.001 μB per formula unit

The structure in POSCAR format:
```
Rb4NaAu2
1.0
6.068 0.000 0.000
3.034 5.255 0.000
3.034 1.752 10.660
Rb Au Na
4 2 1
Cartesian
3.034 1.752 1.286 Rb
3.034 1.752 7.159 Rb
9.102 5.255 3.501 Rb
9.102 5.255 9.374 Rb
6.068 3.503 2.301 Au
6.068 3.503 8.359 Au
6.068 3.503 5.330 Na
```

Version b
DFT (GGA-PBE) results for a geometry-optimized Rb4NaAu2 structure.

Results
* DOS at the Fermi energy: 0.482 states/eV/atom
* size of the total moment: 0.000 μB per formula unit

The structure in POSCAR format:
```
Rb4NaAu2
1.0
6.320 -0.003 0.000
-3.161 5.472 0.000
0.000 0.000 19.401
Rb Na Au
8 2 4
Cartesian
-1.578 4.558 11.790 Rb
1.579 2.735 0.000 Rb
1.579 2.735 9.700 Rb
4.737 0.911 2.090 Rb
4.744 0.907 14.550 Rb
-1.578 4.558 17.311 Rb
4.737 0.911 7.610 Rb
-1.586 4.563 4.850 Rb
1.574 2.738 4.850 Na
1.585 2.731 14.550 Na
-1.583 4.561 1.380 Au
4.742 0.908 18.020 Au
-1.583 4.561 8.320 Au
4.742 0.908 11.081 Au
```

Relative stability in meV/atom, measured from the most stable structure: version a 0; version b 24

Version a
DFT (GGA-PBE) results for a geometry-optimized RbNaAu2 structure.

Results
* DOS at the Fermi energy: 0.169 states/eV/atom
* size of the total moment: 0.000 μB per formula unit

The structure in POSCAR format:
```
RbNaAu2
1.0
3.834 0.000 0.000
0.000 3.834 0.000
0.000 0.000 7.754
Au Rb Na
2 1 1
Cartesian
0.000 0.000 6.255 Au
0.000 0.000 1.500 Au
1.917 1.917 3.877 Rb
1.917 1.917 0.000 Na
```

Version b
DFT (GGA-PBE) results for a geometry-optimized RbNaAu2 structure.

Results
* DOS at the Fermi energy: 0.068 states/eV/atom
* size of the total moment: 0.000 μB per formula unit

The structure in POSCAR format:
```
RbNaAu2
1.0
-2.703 0.130 4.817
-4.949 -2.413 0.457
-0.557 -4.619 2.980
Au Rb Na
2 1 1
Cartesian
-2.052 -1.726 2.064 Au
-6.157 -5.177 6.191 Au
-4.104 -3.451 4.127 Rb
0.000 0.000 0.000 Na
```

Version c
DFT (GGA-PBE) results for a geometry-optimized RbNaAu2 structure.

Results
* size of the total moment: 0.000 μB per formula unit

The structure in POSCAR format:
```
RbNaAu2
1.0
4.591 0.000 0.000
-2.295 3.976 0.000
0.000 0.000 15.384
Na Au Rb
2 4 2
Cartesian
0.000 2.651 3.846 Na
2.295 1.325 11.538 Na
0.000 2.651 13.035 Au
0.000 2.651 10.041 Au
2.295 1.325 2.349 Au
2.295 1.325 5.343 Au
0.000 0.000 7.692 Rb
0.000 0.000 0.000 Rb
```

Version d
DFT (GGA-PBE) results for a geometry-optimized RbNaAu2 structure.

Results
* DOS at the Fermi energy: 0.000 states/eV/atom
* size of the total moment: 0.000 μB per formula unit

The structure in POSCAR format:
```
RbNaAu2
1.0
-3.568 -6.422 -0.339
5.042 -2.553 -4.706
4.578 -6.908 2.907
Au Rb Na
4 2 2
Cartesian
4.276 -8.693 0.018 Au
3.645 -4.494 -2.276 Au
-0.251 -5.691 -0.054 Au
4.434 -12.888 -1.965 Au
0.000 0.000 0.000 Rb
0.874 -8.909 0.022 Rb
5.179 -6.974 -2.161 Na
0.737 -4.487 -2.523 Na
```

Relative stability in meV/atom, measured from the most stable structure: version a 0; version b 82; version c 43; version d 159

Version a
DFT (GGA-PBE) results for a geometry-optimized RbNaAu2 structure.

Results
* DOS at the Fermi energy: 0.219 states/eV/atom
* size of the total moment: 0.000 μB per formula unit

The structure in POSCAR format:
```
RbNaAu2
1.0
-2.457 2.964 3.181
-0.601 -1.397 4.757
4.079 3.210 4.077
Au Rb Na
2 1 1
Cartesian
-0.169 3.100 4.820 Au
1.190 1.676 7.196 Au
-1.228 1.482 1.590 Rb
1.739 0.906 4.417 Na
```

Version b
DFT (GGA-PBE) results for a geometry-optimized RbNaAu2 structure.

Results
* DOS at the Fermi energy: 0.503 states/eV/atom
* size of the total moment: 0.000 μB per formula unit

The structure in POSCAR format:
```
RbNaAu2
1.0
-2.769 0.949 -3.964
-4.700 -1.476 -0.134
-4.180 4.989 1.052
Au Rb Na
2 1 1
Cartesian
-7.566 -0.230 -3.959 Au
-2.617 0.214 -1.184 Au
-5.770 2.064 -1.601 Rb
-8.990 4.120 -1.923 Na
```

Version c
DFT (GGA-PBE) results for a geometry-optimized RbNaAu2 structure.

Results
* DOS at the Fermi energy: 0.092 states/eV/atom
* size of the total moment: 0.000 μB per formula unit

The structure in POSCAR format:
```
RbNaAu2
1.0
3.829 0.000 0.000
0.000 5.564 0.000
0.000 0.000 5.564
Na Au Rb
1 2 1
Cartesian
1.915 2.782 2.782 Na
0.000 0.000 2.782 Au
0.000 2.782 0.000 Au
1.915 0.000 0.000 Rb
```

Relative stability in meV/atom, measured from the most stable structure: version a 0; version b 17; version c 109

Version a
DFT (GGA-PBE) results for a geometry-optimized Rb3Na4Au4 structure.

Results
* DOS at the Fermi energy: 0.498 states/eV/atom
* size of the total moment: 0.000 μB per formula unit

The structure in POSCAR format:
```
Rb3Na4Au4
1.0
7.957 0.000 0.000
-2.652 7.502 0.000
-2.652 -3.751 6.497
Rb Au Na
3 4 4
Cartesian
2.652 -1.876 3.249 Rb
2.652 3.751 0.000 Rb
-2.652 1.876 3.249 Rb
-1.667 -2.358 4.084 Au
0.985 1.394 2.414 Au
5.001 0.000 0.000 Au
-1.667 4.715 0.000 Au
2.119 0.000 0.000 Na
1.946 2.752 4.767 Na
-0.706 1.998 0.000 Na
-0.706 -0.999 1.730 Na
```

Version b
DFT (GGA-PBE) results for a geometry-optimized Rb3Na4Au4 structure.

Results
* DOS at the Fermi energy: 0.309 states/eV/atom
* size of the total moment: 0.000 μB per formula unit

The structure in POSCAR format:
```
Rb3Na4Au4
1.0
4.912 0.000 -1.222
-1.025 7.296 -4.121
-0.196 0.565 9.697
Au Na Rb
4 4 3
Cartesian
1.611 6.016 -4.009 Au
0.242 5.467 0.973 Au
3.449 2.394 3.382 Au
2.276 1.280 -1.334 Au
2.757 3.670 0.599 Na
0.934 4.191 3.755 Na
1.341 1.294 5.392 Na
2.350 6.567 -1.037 Na
-0.513 3.648 -2.060 Rb
3.275 6.859 2.682 Rb
0.416 1.003 1.672 Rb
```

Relative stability in meV/atom, measured from the most stable structure: version a 44; version b 0

Version a
DFT (GGA-PBE) results for a geometry-optimized Rb3NaAu structure.

Results
* DOS at the Fermi energy: 0.599 states/eV/atom
* size of the total moment: 0.000 μB per formula unit

The structure in POSCAR format:
```
Rb3NaAu
1.0
4.900 0.000 -0.023
0.000 10.706 0.000
0.041 0.000 10.783
Rb Na Au
6 2 2
Cartesian
1.235 4.786 3.662 Rb
3.706 10.139 7.098 Rb
3.706 5.920 7.098 Rb
3.706 2.677 10.643 Rb
1.235 0.567 3.662 Rb
1.235 8.030 0.117 Rb
3.691 8.030 3.620 Na
1.250 2.677 7.140 Na
3.691 2.677 5.364 Au
1.250 8.030 5.396 Au
```

Version b
DFT (GGA-PBE) results for a geometry-optimized Rb3NaAu structure.

Results
* DOS at the Fermi energy: 1.426 states/eV/atom
* size of the total moment: 0.000 μB per formula unit

The structure in POSCAR format:
```
Rb3NaAu
1.0
6.818 0.000 0.000
0.000 6.818 0.000
0.000 0.000 6.818
Au Rb Na
1 3 1
Cartesian
0.000 0.000 0.000 Au
0.000 3.409 0.000 Rb
0.000 0.000 3.409 Rb
3.409 0.000 0.000 Rb
3.409 3.409 3.409 Na
```

Relative stability in meV/atom, measured from the most stable structure: version a 0; version b 32

Version a
DFT (GGA-PBE) results for a geometry-optimized Rb2Na4Au structure.

Results
* DOS at the Fermi energy: 0.380 states/eV/atom
* size of the total moment: 0.000 μB per formula unit

The structure in POSCAR format:
```
Rb2Na4Au
1.0
5.418 0.000 1.807
2.709 10.947 0.904
-0.754 0.000 11.289
Au Na Rb
2 8 4
Cartesian
4.064 0.000 1.355 Au
1.355 0.000 0.452 Au
2.277 8.455 11.228 Na
5.097 2.493 2.771 Na
5.453 9.931 10.731 Na
5.097 8.455 2.771 Na
0.034 1.016 8.924 Na
1.921 1.016 3.268 Na
7.339 9.931 5.075 Na
2.277 2.493 11.228 Na
5.428 5.474 10.806 Rb
3.687 8.534 7.000 Rb
3.687 2.413 7.000 Rb
1.946 5.474 3.193 Rb
```

Version b
DFT (GGA-PBE) results for a geometry-optimized Rb2Na4Au structure.

Results
* DOS at the Fermi energy: 0.575 states/eV/atom
* size of the total moment: 0.000 μB per formula unit

The structure in POSCAR format:
```
Rb2Na4Au
1.0
5.838 0.000 0.000
0.000 5.838 0.000
-2.919 -2.919 10.220
Au Rb Na
1 2 4
Cartesian
0.000 0.000 0.000 Au
2.919 2.919 3.139 Rb
0.000 0.000 7.080 Rb
0.000 2.919 0.000 Na
0.000 0.000 2.855 Na
2.919 0.000 0.000 Na
2.919 2.919 7.364 Na
```

Relative stability in meV/atom, measured from the most stable structure: version a 0; version b 57

Version a
DFT (GGA-PBE) results for a geometry-optimized Rb4NaAu structure.

Results
* DOS at the Fermi energy: 0.636 states/eV/atom
* size of the total moment: 0.000 μB per formula unit

The structure in POSCAR format:
```
Rb4NaAu
1.0
7.992 -0.780 0.000
-3.006 11.031 0.000
-2.493 -5.125 8.376
Rb Au Na
8 2 2
Cartesian
-2.180 -2.225 7.084 Rb
3.927 -1.497 2.743 Rb
4.673 7.350 1.292 Rb
-1.434 6.622 5.634 Rb
0.069 1.107 2.743 Rb
4.309 2.510 1.292 Rb
2.424 4.018 5.634 Rb
-1.816 2.615 7.084 Rb
0.495 5.320 8.356 Au
1.998 -0.195 0.021 Au
0.495 5.320 2.104 Na
1.998 -0.195 6.272 Na
```

Version b
DFT (GGA-PBE) results for a geometry-optimized Rb4NaAu structure.

Results
* DOS at the Fermi energy: 0.667 states/eV/atom
* size of the total moment: 0.000 μB per formula unit

The structure in POSCAR format:
```
Rb4NaAu
1.0
8.021 0.000 -4.091
-2.087 7.744 -4.091
0.393 0.513 10.677
Rb Au Na
8 2 2
Cartesian
6.073 6.546 -4.262 Rb
4.539 0.690 5.250 Rb
4.553 4.562 2.665 Rb
0.267 5.583 4.172 Rb
1.787 7.567 -2.756 Rb
0.254 1.711 6.757 Rb
6.059 2.674 -1.677 Rb
1.774 3.695 -0.171 Rb
1.680 2.192 3.293 Au
4.647 6.064 -0.798 Au
2.967 3.872 -4.091 Na
0.000 0.000 0.000 Na
```

Relative stability in meV/atom, measured from the most stable structure: version a 0; version b 22

Version a
DFT (GGA-PBE) results for a geometry-optimized RbNa3Au structure.

Results
* DOS at the Fermi energy: 0.487 states/eV/atom
* size of the total moment: 0.000 μB per formula unit

The structure in POSCAR format:
```
RbNa3Au
1.0
4.833 0.000 0.000
0.001 8.519 2.161
0.000 0.248 9.186
Au Na Rb
2 6 2
Cartesian
1.844 7.119 7.823 Au
4.260 7.348 3.204 Au
1.839 4.091 7.975 Na
1.842 8.296 4.899 Na
1.841 8.435 10.660 Na
4.261 6.176 6.124 Na
4.254 1.861 0.877 Na
4.258 6.274 9.558 Na
1.845 4.628 3.252 Rb
4.261 1.317 5.617 Rb
```

Version b
DFT (GGA-PBE) results for a geometry-optimized RbNa3Au structure.

Results
* DOS at the Fermi energy: 0.429 states/eV/atom
* size of the total moment: 0.000 μB per formula unit

The structure in POSCAR format:
```
RbNa3Au
1.0
7.186 0.002 -0.007
0.002 6.610 -0.001
-0.008 0.002 8.455
Na Au Rb
6 2 2
Cartesian
6.825 3.688 4.079 Na
6.248 0.217 5.921 Na
6.825 3.697 7.752 Na
2.660 2.120 1.702 Na
3.239 5.253 3.530 Na
3.226 5.260 8.311 Na
5.085 3.712 1.685 Au
1.488 5.231 5.916 Au
6.465 0.338 1.694 Rb
2.867 1.995 5.928 Rb
```

Version c
DFT (GGA-PBE) results for a geometry-optimized RbNa3Au structure.

Results
* DOS at the Fermi energy: 0.851 states/eV/atom
* size of the total moment: 0.000 μB per formula unit

The structure in POSCAR format:
```
RbNa3Au
1.0
-4.209 3.554 -3.452
1.273 -3.602 -5.260
-4.788 -4.081 1.637
Na Rb Au
3 1 1
Cartesian
-2.394 -2.041 0.818 Na
0.636 -1.801 -2.630 Na
-2.104 1.777 -1.726 Na
0.000 0.000 0.000 Rb
-3.862 -2.065 -3.538 Au
```

Relative stability in meV/atom, measured from the most stable structure: version a 0; version b 48; version c 825